! PaTaNiO6, relaxed, DFT PBE with a Hubbard U; values from VASP
&SYSTEM
  ibrav = 0, nat = 18, ntyp = 4
/
ATOMIC_SPECIES
Pa 231.04 Pa.upf
Ta 180.95 Ta.upf
Ni 58.69 Ni.upf
O 16.00 O.upf
CELL_PARAMETERS angstrom
5.192 0.000 0.000
-2.596 4.497 0.000
0.000 0.000 9.747
ATOMIC_POSITIONS angstrom
Pa 0.000 0.000 0.000
Pa 0.000 0.000 4.873
Ta 0.000 2.998 2.437
Ta 2.596 1.499 7.310
Ni 0.000 2.998 7.310
Ni 2.596 1.499 2.437
O -0.831 1.566 1.307
O -1.655 2.994 3.566
O 0.831 1.566 3.566
O -0.824 4.433 1.307
O 1.772 0.064 6.181
O 0.941 1.503 8.440
O 1.655 2.994 1.307
O 0.824 4.433 3.566
O 3.420 0.064 8.440
O 1.765 2.930 6.181
O 4.251 1.503 6.181
O 3.427 2.930 8.440
! * magnetization: 3.944 μB per cell
! * raw total energy: -8.71 eV per atom
! * space group: No. 163